(1)
This record from the Alexandria database describes a relaxed Ca crystal. The functional is PBE.

Output
VASP energy = -7.387 eV/cell
N(E_F) = 0.895 states/eV/atom

a b c (Å): 6.1736 6.1736 6.1736
angles (deg): 106.53 106.53 115.52
Last column: nearest neighbours and their distance in Å.
Atoms (fractional coordinates):
Ca 0.1709 0.6709 0.8418  7 Ca 3.57-3.87
Ca 0.8291 0.3291 0.1582  7 Ca 3.57-3.87
Ca 0.3291 0.1709 0.5000  7 Ca 3.57-3.87
Ca 0.6709 0.8291 0.5000  7 Ca 3.57-3.87



(2)
This record from the Alexandria database describes a relaxed Nd3TmPb2 crystal. The functional is PBE.

Output
VASP energy = -28.783 eV/cell
N(E_F) = 1.072 states/eV/atom

a b c (Å): 4.6628 4.6628 8.8345
angles (deg): 90.00 90.00 90.00
Last column: nearest neighbours and their distance in Å.
Atoms (fractional coordinates):
Nd 0.5000 0.0000 0.3451  5 Pb 3.31-3.35
Nd 0.0000 0.5000 0.6549  5 Pb 3.31-3.35
Nd 0.0000 0.0000 0.0000  4 Tm 3.30, 4 Pb 3.40
Tm 0.5000 0.5000 0.0000  4 Nd 3.30, 4 Pb 3.40
Pb 0.5000 0.0000 0.7193  7 Nd 3.31-3.40, 2 Tm 3.40
Pb 0.0000 0.5000 0.2807  7 Nd 3.31-3.40, 2 Tm 3.40



(3)
This record from the Alexandria database describes a relaxed Y2PuThSe4 crystal. The functional is PBE.

Output
VASP energy = -61.873 eV/cell
N(E_F) = 1.314 states/eV/atom

a b c (Å): 4.0782 7.2525 7.1177
angles (deg): 71.19 90.00 90.00
Last column: nearest neighbours and their distance in Å.
Atoms (fractional coordinates):
Y 0.0000 0.0000 0.0000  6 Se 2.90
Y 0.5000 0.0000 0.5000  6 Se 2.87
Pu 0.0000 0.5000 0.5000  6 Se 2.94-2.95
Th 0.5000 0.5000 0.0000  6 Se 2.97
Se 0.0000 0.7608 0.7432  3 Y 2.87-2.90, 1 Pu 2.95, 2 Th 2.97
Se 0.0000 0.2392 0.2568  3 Y 2.87-2.90, 1 Pu 2.95, 2 Th 2.97
Se 0.5000 0.7575 0.2507  3 Y 2.87-2.90, 2 Pu 2.94, 1 Th 2.97
Se 0.5000 0.2425 0.7493  3 Y 2.87-2.90, 2 Pu 2.94, 1 Th 2.97



(4)
This record from the Alexandria database describes a relaxed PbAuO2F crystal. The functional is PBE.

Output
VASP energy = -20.553 eV/cell
N(E_F) = 0.759 states/eV/atom

a b c (Å): 4.3156 4.3156 4.4070
angles (deg): 90.00 90.00 90.00
Last column: nearest neighbours and their distance in Å.
Atoms (fractional coordinates):
Pb 0.0000 0.0000 0.0000  4 O 2.16, 2 F 2.20
Au 0.5000 0.5000 0.5000  4 F 3.05, 8 O 3.08
O 0.0000 0.5000 0.0000  2 Pb 2.16
O 0.5000 0.0000 0.0000  2 Pb 2.16
F 0.0000 0.0000 0.5000  2 Pb 2.20



(5)
This record from the Alexandria database describes a relaxed Dy2UNi9 crystal. The functional is PBE.

Output
VASP energy = -76.597 eV/cell
N(E_F) = 1.249 states/eV/atom

a b c (Å): 4.9205 4.9205 8.6386
angles (deg): 73.45 73.45 60.00
Last column: nearest neighbours and their distance in Å.
Atoms (fractional coordinates):
Dy 0.8610 0.8610 0.4171  12 Ni 2.83-3.10, 3 Dy 3.15
Dy 0.1390 0.1390 0.5829  12 Ni 2.83-3.10, 3 Dy 3.15
U 0.0000 0.0000 0.0000  18 Ni 2.84-3.17
Ni 0.6668 0.6668 0.9996  6 Ni 2.45-2.46
Ni 0.3332 0.3332 0.0004  6 Ni 2.45-2.46
Ni 0.5000 0.5000 0.5000  6 Ni 2.52
Ni 0.4179 0.4179 0.2455  7 Ni 2.45-2.52
Ni 0.9187 0.4179 0.2455  7 Ni 2.45-2.52
Ni 0.4179 0.9187 0.2455  7 Ni 2.45-2.52
Ni 0.5821 0.5821 0.7545  7 Ni 2.45-2.52
Ni 0.5821 0.0813 0.7545  7 Ni 2.45-2.52
Ni 0.0813 0.5821 0.7545  7 Ni 2.45-2.52



(6)
This record from the Alexandria database describes a relaxed LiIn8Ag6 crystal. The functional is PBE.

Output
VASP energy = -41.525 eV/cell
N(E_F) = 0.262 states/eV/atom

a b c (Å): 7.3062 7.3062 7.3062
angles (deg): 72.02 72.02 72.02
Last column: nearest neighbours and their distance in Å.
Atoms (fractional coordinates):
Li 0.0000 0.0000 0.0000  6 Ag 2.88, 6 In 2.99
In 0.0979 0.6614 0.8106  3 Ag 2.85-2.91, 1 Li 2.99
In 0.1894 0.9021 0.3386  3 Ag 2.85-2.91, 1 Li 2.99
In 0.3386 0.1894 0.9021  3 Ag 2.85-2.91, 1 Li 2.99
In 0.6763 0.6763 0.6763  6 Ag 2.88-2.94
In 0.3237 0.3237 0.3237  6 Ag 2.88-2.94
In 0.6614 0.8106 0.0979  3 Ag 2.85-2.91, 1 Li 2.99
In 0.8106 0.0979 0.6614  3 Ag 2.85-2.91, 1 Li 2.99
In 0.9021 0.3386 0.1894  3 Ag 2.85-2.91, 1 Li 2.99
Ag 0.0245 0.3578 0.6948  5 In 2.85-2.94, 1 Li 2.88, 3 Ag 2.97-3.01
Ag 0.3052 0.9755 0.6422  5 In 2.85-2.94, 1 Li 2.88, 3 Ag 2.97-3.01
Ag 0.6422 0.3052 0.9755  5 In 2.85-2.94, 1 Li 2.88, 3 Ag 2.97-3.01
Ag 0.3578 0.6948 0.0245  5 In 2.85-2.94, 1 Li 2.88, 3 Ag 2.97-3.01
Ag 0.6948 0.0245 0.3578  5 In 2.85-2.94, 1 Li 2.88, 3 Ag 2.97-3.01
Ag 0.9755 0.6422 0.3052  5 In 2.85-2.94, 1 Li 2.88, 3 Ag 2.97-3.01



(7)
This record from the Alexandria database describes a relaxed BaMg2In3 crystal. The functional is PBE.

Output
VASP energy = -29.366 eV/cell
N(E_F) = 0.660 states/eV/atom

a b c (Å): 5.0034 5.0034 16.4095
angles (deg): 90.00 90.00 120.00
Last column: nearest neighbours and their distance in Å.
Atoms (fractional coordinates):
Ba 0.0000 0.0000 0.2500  6 In 3.58
Ba 0.0000 0.0000 0.7500  6 In 3.58
Mg 0.6667 0.3333 0.4257  7 In 2.99-3.20
Mg 0.3333 0.6667 0.5743  7 In 2.99-3.20
Mg 0.3333 0.6667 0.9257  7 In 2.99-3.20
Mg 0.6667 0.3333 0.0743  7 In 2.99-3.20
In 0.0000 0.0000 0.5000  6 Mg 3.14, 6 In 3.50
In 0.0000 0.0000 0.0000  6 Mg 3.14, 6 In 3.50
In 0.6667 0.3333 0.6208  4 Mg 2.99-3.20
In 0.3333 0.6667 0.1208  4 Mg 2.99-3.20
In 0.6667 0.3333 0.8792  4 Mg 2.99-3.20
In 0.3333 0.6667 0.3792  4 Mg 2.99-3.20



(8)
This record from the Alexandria database describes a relaxed NpGa4IrRu2 crystal. The functional is PBE.

Output
VASP energy = -54.056 eV/cell
N(E_F) = 1.779 states/eV/atom

a b c (Å): 4.2749 4.2749 8.7768
angles (deg): 75.90 75.90 60.00
Last column: nearest neighbours and their distance in Å.
Atoms (fractional coordinates):
Np 0.0000 0.0000 0.0000  8 Ga 2.97-3.30
Ga 0.3985 0.3985 0.8045  1 Ir 2.57, 3 Ru 2.58
Ga 0.8696 0.8696 0.3913  4 Ru 2.63-2.73, 3 Ir 2.63
Ga 0.1304 0.1304 0.6087  4 Ru 2.63-2.73, 3 Ir 2.63
Ga 0.6015 0.6015 0.1955  1 Ir 2.57, 3 Ru 2.58
Ir 0.5000 0.5000 0.5000  8 Ga 2.57-2.63
Ru 0.7615 0.7615 0.7154  7 Ga 2.58-2.73
Ru 0.2385 0.2385 0.2846  7 Ga 2.58-2.73



(9)
This record from the Alexandria database describes a relaxed Nd2HoEr2Th2 crystal. The functional is PBE.

Output
VASP energy = -36.888 eV/cell
N(E_F) = 1.524 states/eV/atom

a b c (Å): 3.4715 9.1646 8.5302
angles (deg): 118.67 90.00 100.92
Last column: nearest neighbours and their distance in Å.
Atoms (fractional coordinates):
Nd 0.6444 0.2888 0.9160  2 Th 3.36-3.56, 2 Nd 3.47, 3 Er 3.52-3.70, 2 Ho 3.65
Nd 0.3556 0.7112 0.0840  2 Th 3.36-3.56, 2 Nd 3.47, 3 Er 3.52-3.70, 2 Ho 3.65
Ho 0.0000 0.0000 0.5000  2 Er 3.40, 2 Ho 3.47, 4 Th 3.54, 4 Nd 3.65
Er 0.7900 0.5801 0.3805  1 Ho 3.40, 4 Er 3.47-3.48, 3 Nd 3.52-3.70, 3 Th 3.53-3.58
Er 0.2100 0.4199 0.6195  1 Ho 3.40, 4 Er 3.47-3.48, 3 Nd 3.52-3.70, 3 Th 3.53-3.58
Th 0.4342 0.8684 0.7731  2 Nd 3.36-3.56, 3 Th 3.41-3.47, 3 Er 3.53-3.58, 2 Ho 3.54
Th 0.5658 0.1316 0.2269  2 Nd 3.36-3.56, 3 Th 3.41-3.47, 3 Er 3.53-3.58, 2 Ho 3.54



(10)
This record from the Alexandria database describes a relaxed DyZn8Cu4 crystal. The functional is PBE.

Output
VASP energy = -33.809 eV/cell
N(E_F) = 0.522 states/eV/atom

a b c (Å): 4.9657 6.7064 6.7064
angles (deg): 82.12 68.27 68.27
Last column: nearest neighbours and their distance in Å.
Atoms (fractional coordinates):
Dy 0.0000 0.0000 0.0000  12 Zn 3.06-3.14, 8 Cu 3.35
Zn 0.0000 0.3477 0.6523  4 Cu 2.67, 5 Zn 2.68-2.82
Zn 0.0000 0.6523 0.3477  4 Cu 2.67, 5 Zn 2.68-2.82
Zn 0.3477 0.6523 0.6523  4 Cu 2.67, 5 Zn 2.68-2.82
Zn 0.6523 0.3477 0.3477  4 Cu 2.67, 5 Zn 2.68-2.82
Zn 0.5000 0.7816 0.2184  4 Cu 2.54, 6 Zn 2.72-2.82
Zn 0.5000 0.2184 0.7816  4 Cu 2.54, 6 Zn 2.72-2.82
Zn 0.2816 0.2184 0.2184  4 Cu 2.54, 6 Zn 2.72-2.82
Zn 0.7184 0.7816 0.7816  4 Cu 2.54, 6 Zn 2.72-2.82
Cu 0.0000 0.0000 0.5000  2 Cu 2.48, 8 Zn 2.54-2.67
Cu 0.5000 0.0000 0.5000  2 Cu 2.48, 8 Zn 2.54-2.67
Cu 0.0000 0.5000 0.0000  2 Cu 2.48, 8 Zn 2.54-2.67
Cu 0.5000 0.5000 0.0000  2 Cu 2.48, 8 Zn 2.54-2.67



(11)
This record from the Alexandria database describes a relaxed LiCaBr3 crystal. The functional is PBE.

Output
VASP energy = -16.590 eV/cell
N(E_F) = 0.000 states/eV/atom

a b c (Å): 5.6671 5.6671 5.6671
angles (deg): 90.00 90.00 90.00
Last column: nearest neighbours and their distance in Å.
Atoms (fractional coordinates):
Ca 0.0000 0.0000 0.0000  6 Br 2.83
Br 0.0000 0.5000 0.0000  2 Ca 2.83
Br 0.0000 0.0000 0.5000  2 Ca 2.83
Br 0.5000 0.0000 0.0000  2 Ca 2.83
Li 0.5000 0.5000 0.5000  12 Br 4.01



(12)
This record from the Alexandria database describes a relaxed BeSb2Au crystal. The functional is PBE.

Output
VASP energy = -28.868 eV/cell
N(E_F) = 0.632 states/eV/atom

a b c (Å): 5.9863 5.9863 7.1253
angles (deg): 65.16 65.16 90.00
Last column: nearest neighbours and their distance in Å.
Atoms (fractional coordinates):
Sb 0.5812 0.1250 0.2500  2 Be 2.41
Sb 0.1688 0.6250 0.2500  2 Be 2.41
Sb 0.3750 0.4188 0.7500  2 Be 2.41
Sb 0.8750 0.8312 0.7500  2 Be 2.41
Au 0.0000 0.0000 0.0000  4 Sb 2.72
Au 0.7500 0.2500 0.5000  4 Sb 2.72
Be 0.5000 0.5000 0.0000  4 Sb 2.41
Be 0.2500 0.7500 0.5000  4 Sb 2.41